No. 1
A relaxed structure of ZnS2. Source: the Alexandria database, functional GGA-PBE.

a = 5.9965 Å, b = 5.9965 Å, c = 5.9965 Å
α = 90.00°, β = 90.00°, γ = 90.00°
Closest atoms and distances in Å follow each position.
Atoms (fractional coordinates):
1 Zn 0.0000 0.0000 0.0000  6 S 2.54
2 Zn 0.0000 0.5000 0.5000  6 S 2.54
3 Zn 0.5000 0.0000 0.5000  6 S 2.54
4 Zn 0.5000 0.5000 0.0000  6 S 2.54
5 S 0.1000 0.6000 0.9000  1 S 2.08
6 S 0.1000 0.9000 0.4000  1 S 2.08
7 S 0.4000 0.1000 0.9000  1 S 2.08
8 S 0.4000 0.4000 0.4000  1 S 2.08
9 S 0.6000 0.6000 0.6000  1 S 2.08
10 S 0.6000 0.9000 0.1000  1 S 2.08
11 S 0.9000 0.1000 0.6000  1 S 2.08
12 S 0.9000 0.4000 0.1000  1 S 2.08

Results
DFT total energy: -3.541 eV/atom
ΔE_f (raw): -0.365 eV per atom

---

No. 2
A relaxed structure of Ac2Nd3Pt2. Source: the Alexandria database, functional GGA-PBE.

a = 12.7753 Å, b = 4.0113 Å, c = 9.5600 Å
α = 90.00°, β = 114.81°, γ = 90.00°
Closest atoms and distances in Å follow each position.
Atoms (fractional coordinates):
1 Ac 0.1631 0.0000 0.3042  2 Pt 3.14
2 Ac 0.3369 0.5000 0.6958  2 Pt 3.14
3 Ac 0.6631 0.5000 0.3042  2 Pt 3.14
4 Ac 0.8369 0.0000 0.6958  2 Pt 3.14
5 Nd 0.0000 0.5000 0.5000  4 Pt 3.08
6 Nd 0.1184 0.5000 0.9301  3 Pt 2.94-3.24
7 Nd 0.3816 0.0000 0.0699  3 Pt 2.94-3.24
8 Nd 0.5000 0.0000 0.5000  4 Pt 3.08
9 Nd 0.6184 0.0000 0.9301  3 Pt 2.94-3.24
10 Nd 0.8816 0.5000 0.0699  3 Pt 2.94-3.24
11 Pt 0.1627 0.0000 0.7359  5 Nd 2.94-3.24, 2 Ac 3.14
12 Pt 0.3373 0.5000 0.2641  5 Nd 2.94-3.24, 2 Ac 3.14
13 Pt 0.6627 0.5000 0.7359  5 Nd 2.94-3.24, 2 Ac 3.14
14 Pt 0.8373 0.0000 0.2641  5 Nd 2.94-3.24, 2 Ac 3.14

Results
DFT total energy: -5.634 eV/atom

---

No. 3
A relaxed structure of CdBi2SbPt. Source: the Alexandria database, functional GGA-PBE.

a = 5.9635 Å, b = 5.9635 Å, c = 4.9001 Å
α = 90.00°, β = 90.00°, γ = 90.00°
Closest atoms and distances in Å follow each position.
Atoms (fractional coordinates):
1 Cd 0.0000 0.0000 0.0000  8 Bi 3.86, 4 Pt 4.22
2 Bi 0.0000 0.5000 0.5000  2 Sb 2.98
3 Bi 0.5000 0.0000 0.5000  2 Sb 2.98
4 Sb 0.5000 0.5000 0.5000  2 Pt 2.45
5 Pt 0.5000 0.5000 0.0000  2 Sb 2.45

Results
DFT total energy: -3.136 eV/atom
ΔE_f (raw): 0.632 eV per atom

---

No. 4
A relaxed structure of KSiAs2Au. Source: the Alexandria database, functional GGA-PBE.

a = 4.9887 Å, b = 4.9887 Å, c = 4.9256 Å
α = 90.00°, β = 90.00°, γ = 90.00°
Closest atoms and distances in Å follow each position.
Atoms (fractional coordinates):
1 K 0.0000 0.0000 0.0000  8 As 3.51, 4 Au 3.53
2 Si 0.5000 0.5000 0.5000  2 Au 2.46, 4 As 2.49
3 As 0.0000 0.5000 0.5000  2 Si 2.49
4 As 0.5000 0.0000 0.5000  2 Si 2.49
5 Au 0.5000 0.5000 0.0000  2 Si 2.46

Results
DFT total energy: -3.647 eV/atom
ΔE_f (raw): 0.172 eV per atom

---

No. 5
A relaxed structure of Gd2SnBi. Source: the Alexandria database, functional GGA-PBE.

a = 7.7502 Å, b = 7.7502 Å, c = 7.7502 Å
α = 90.00°, β = 90.00°, γ = 90.00°
Closest atoms and distances in Å follow each position.
Atoms (fractional coordinates):
1 Gd 0.2500 0.2500 0.2500  4 Sn 3.36, 4 Bi 3.36
2 Gd 0.2500 0.2500 0.7500  4 Bi 3.36, 4 Sn 3.36
3 Gd 0.2500 0.7500 0.2500  4 Bi 3.36, 4 Sn 3.36
4 Gd 0.2500 0.7500 0.7500  4 Sn 3.36, 4 Bi 3.36
5 Gd 0.7500 0.2500 0.2500  4 Bi 3.36, 4 Sn 3.36
6 Gd 0.7500 0.2500 0.7500  4 Sn 3.36, 4 Bi 3.36
7 Gd 0.7500 0.7500 0.2500  4 Sn 3.36, 4 Bi 3.36
8 Gd 0.7500 0.7500 0.7500  4 Bi 3.36, 4 Sn 3.36
9 Sn 0.0000 0.0000 0.0000  8 Gd 3.36
10 Sn 0.0000 0.5000 0.5000  8 Gd 3.36
11 Sn 0.5000 0.0000 0.5000  8 Gd 3.36
12 Sn 0.5000 0.5000 0.0000  8 Gd 3.36
13 Bi 0.0000 0.0000 0.5000  8 Gd 3.36
14 Bi 0.0000 0.5000 0.0000  8 Gd 3.36
15 Bi 0.5000 0.0000 0.0000  8 Gd 3.36
16 Bi 0.5000 0.5000 0.5000  8 Gd 3.36

Results
DFT total energy: -9.615 eV/atom
ΔE to the lowest computed polymorph: 103 meV/atom

---

No. 6
A relaxed structure of Tb3Ho8Tm3. Source: the Alexandria database, functional GGA-PBE.

a = 9.5238 Å, b = 9.5238 Å, c = 9.5238 Å
α = 146.06°, β = 111.82°, γ = 78.38°
Closest atoms and distances in Å follow each position.
Atoms (fractional coordinates):
1 Tb 0.0000 0.0000 0.0000  4 Tm 3.53, 4 Tb 3.85
2 Tb 0.1808 0.6808 0.5000  2 Tm 3.44, 8 Ho 3.56-3.69
3 Tb 0.8192 0.3192 0.5000  2 Tm 3.44, 8 Ho 3.56-3.69
4 Ho 0.1193 0.2782 0.8411  6 Ho 3.23-3.49, 2 Tb 3.56, 1 Tm 3.59
5 Ho 0.2382 0.8967 0.3415  5 Ho 3.05-3.38
6 Ho 0.4371 0.2782 0.1589  6 Ho 3.23-3.49, 2 Tb 3.56, 1 Tm 3.59
7 Ho 0.4449 0.1033 0.3415  5 Ho 3.05-3.38
8 Ho 0.5551 0.8967 0.6585  5 Ho 3.05-3.38
9 Ho 0.5629 0.7218 0.8411  6 Ho 3.23-3.49, 2 Tb 3.56, 1 Tm 3.59
10 Ho 0.7618 0.1033 0.6585  5 Ho 3.05-3.38
11 Ho 0.8807 0.7218 0.1589  6 Ho 3.23-3.49, 2 Tb 3.56, 1 Tm 3.59
12 Tm 0.2034 0.5000 0.7034  1 Tm 3.17, 4 Tb 3.44-3.53, 4 Ho 3.50
13 Tm 0.5000 0.5000 0.0000  2 Tm 3.17
14 Tm 0.7966 0.5000 0.2966  1 Tm 3.17, 4 Tb 3.44-3.53, 4 Ho 3.50

Results
DFT total energy: -4.451 eV/atom
ΔE to the lowest computed polymorph: 0 meV/atom

---

No. 7
A relaxed structure of Eu2PI. Source: the Alexandria database, functional GGA-PBE.

a = 4.2739 Å, b = 4.2739 Å, c = 23.1088 Å
α = 90.00°, β = 90.00°, γ = 120.00°
Closest atoms and distances in Å follow each position.
Atoms (fractional coordinates):
1 Eu 0.0000 0.0000 0.2315  3 P 2.89
2 Eu 0.0000 0.0000 0.7685  3 P 2.89
3 Eu 0.3333 0.6667 0.4352  3 P 2.89
4 Eu 0.3333 0.6667 0.8982  3 P 2.89
5 Eu 0.6667 0.3333 0.1018  3 P 2.89
6 Eu 0.6667 0.3333 0.5648  3 P 2.89
7 P 0.0000 0.0000 0.5000  6 Eu 2.89
8 P 0.3333 0.6667 0.1667  6 Eu 2.89
9 P 0.6667 0.3333 0.8333  6 Eu 2.89
10 I 0.0000 0.0000 0.0000  6 Eu 3.41
11 I 0.3333 0.6667 0.6667  6 Eu 3.41
12 I 0.6667 0.3333 0.3333  6 Eu 3.41

Results
DFT total energy: -7.917 eV/atom
ΔE_f (raw): -1.040 eV per atom

---

Q: Which formula does entry 2 have?
A: Ac2Nd3Pt2

---

Q: Which value of DFT total energy does entry 5 give?
A: -9.615 eV/atom

---

Q: DFT total energy of number 5 (Gd2SnBi)?
A: -9.615 eV/atom

---

Q: Among the records above, which one has the highest DFT total energy?
A: CdBi2SbPt